DFT (PBE) results for an optimized crystal structure of LaPmEr.

abc: 5.8316 3.6906 9.7265
angles: 79.16 90.00 90.00
Last column: nearest neighbours and their distance in Å.
Sites, in units of the cell vectors:
Pm (0.4278, 0.1398, 0.8160)  4 Er 3.58-3.59, 6 La 3.60-3.82, 2 Pm 3.69
Pm (0.9284, 0.3692, 0.3572)  4 Er 3.58-3.59, 6 La 3.60-3.82, 2 Pm 3.69
La (0.9278, 0.6921, 0.7069)  6 Pm 3.60-3.82, 2 Er 3.64, 4 La 3.69-3.72
La (0.4285, 0.8168, 0.4663)  6 Pm 3.60-3.82, 2 Er 3.64, 4 La 3.69-3.72
Er (0.4280, 0.4794, 0.1380)  6 Er 3.58-3.69, 4 Pm 3.58-3.59, 2 La 3.64
Er (0.9278, 0.0294, 0.0354)  4 Pm 3.58-3.59, 6 Er 3.58-3.69, 2 La 3.64

Values from the calculation:
**Energy**: -4.72 eV/atom
**DOS at the Fermi energy**: 10.52 states/eV per cell
**ΔE to the lowest computed polymorph**: 9 meV per atom
**Calculated formation energy**: 0.032 eV/atom
**Size of the total moment**: 0.0 μB per formula unit